VRu2F: relaxed, PBE+U.

**Total magnetic moment**: 3.900 μB/cell
**Relative energy among the computed polymorphs**: 0.053 eV/f.u.
**Total energy**: -6.4715 eV/atom
**Space group**: No. 122

Cell lengths 5.765, 5.765, 5.765 Å; angles 97.89, 97.89, 136.51 degrees
Fractional coordinates of all 8 atoms:
V1 0.000 0.000 0.000
V2 0.750 0.250 0.500
Ru1 0.192 0.625 0.067
Ru2 0.375 0.442 0.567
Ru3 0.558 0.125 0.933
Ru4 0.875 0.808 0.433
F1 0.250 0.750 0.500
F2 0.500 0.500 0.000